First-principles (GGA-PBE) data for an optimized crystal structure of CsNaSr2Cl6, as listed in Alexandria via LeMat-Bulk.

CIF file:
```
data_CsNaSr2Cl6
_cell_length_a 7.6374
_cell_length_b 7.6374
_cell_length_c 20.1992
_cell_angle_alpha 90.00
_cell_angle_beta 90.00
_cell_angle_gamma 120.00
_space_group_name_H-M_alt 'R 3'
_space_group_IT_number 146
_space_group_name_Hall 'R 3'
loop_
_atom_site_label
_atom_site_type_symbol
_atom_site_fract_x
_atom_site_fract_y
_atom_site_fract_z
Cs1 Cs 0.0000 0.0000 0.0000
Na1 Na 0.0000 0.0000 0.4639
Sr1 Sr 0.0000 0.0000 0.2614
Sr2 Sr 0.0000 0.0000 0.7753
Cl1 Cl 0.0075 0.3598 0.5230
Cl2 Cl 0.0210 0.5728 0.0286
```

## Properties
Magnetization: 0.0 μB per cell
Crystal system: trigonal
Energy relative to the elements, uncorrected: -22.27 eV per formula unit

---

First-principles (GGA-PBE) data for an optimized crystal structure of AlSbP2, as listed in Alexandria via LeMat-Bulk.

CIF file:
```
data_AlSbP2
_cell_length_a 6.570
_cell_length_b 3.800
_cell_length_c 6.568
_cell_angle_alpha 90.00
_cell_angle_beta 109.85
_cell_angle_gamma 90.00
_space_group_name_H-M_alt 'C 1 2/m 1'
_space_group_IT_number 12
_space_group_name_Hall '-C 2y'
loop_
_atom_site_label
_atom_site_type_symbol
_atom_site_fract_x
_atom_site_fract_y
_atom_site_fract_z
Al1 Al 0.000 0.000 0.000
Sb1 Sb 0.000 0.500 0.500
P1 P 0.239 0.500 0.220
```

## Properties
Energy above the lowest structure with this stoichiometry: 0.016 eV per atom
Magnetization: 0.0 μB per cell
Crystal system: monoclinic
Energy relative to the elements, uncorrected: -0.22 eV per formula unit

---

First-principles (GGA-PBE) data for an optimized crystal structure of Th4SnB3Rh12, as listed in Alexandria via LeMat-Bulk.

CIF file:
```
data_Th4SnB3Rh12
_cell_length_a 8.825
_cell_length_b 8.825
_cell_length_c 8.825
_cell_angle_alpha 90.00
_cell_angle_beta 90.00
_cell_angle_gamma 90.00
_space_group_name_H-M_alt 'I m -3 m'
_space_group_IT_number 229
_space_group_name_Hall '-I 4 2 3'
loop_
_atom_site_label
_atom_site_type_symbol
_atom_site_fract_x
_atom_site_fract_y
_atom_site_fract_z
Th1 Th 0.250 0.250 0.250
Sn1 Sn 0.000 0.000 0.000
B1 B 0.000 0.000 0.500
Rh1 Rh 0.000 0.000 0.280
Rh2 Rh 0.000 0.250 0.500
```

## Properties
Energy of formation: -0.6940 eV per atom
Magnetization: 0.0 μB per cell
Crystal system: cubic

---

First-principles (GGA-PBE) data for an optimized crystal structure of TbCe2Th3P6, as listed in Alexandria via LeMat-Bulk.

CIF file:
```
data_TbCe2Th3P6
_cell_length_a 7.121
_cell_length_b 12.333
_cell_length_c 7.105
_cell_angle_alpha 90.00
_cell_angle_beta 109.51
_cell_angle_gamma 90.00
_space_group_name_H-M_alt 'C 1 2/m 1'
_space_group_IT_number 12
_space_group_name_Hall '-C 2y'
loop_
_atom_site_label
_atom_site_type_symbol
_atom_site_fract_x
_atom_site_fract_y
_atom_site_fract_z
Tb1 Tb 0.000 0.000 0.000
Ce1 Ce 0.000 0.334 0.000
Th1 Th 0.000 0.167 0.500
Th2 Th 0.000 0.500 0.500
P1 P 0.248 0.166 0.245
P2 P 0.250 0.000 0.754
```

## Properties
Energy of formation: -1.5559 eV per atom
Magnetization: 1.1 μB per cell
Crystal system: monoclinic

---

First-principles (GGA-PBE) data for an optimized crystal structure of SmBiPd2, as listed in Alexandria via LeMat-Bulk.

CIF file:
```
data_SmBiPd2
_cell_length_a 4.702
_cell_length_b 4.702
_cell_length_c 3.955
_cell_angle_alpha 90.00
_cell_angle_beta 90.00
_cell_angle_gamma 90.00
_space_group_name_H-M_alt 'P 4/m m m'
_space_group_IT_number 123
_space_group_name_Hall '-P 4 2'
loop_
_atom_site_label
_atom_site_type_symbol
_atom_site_fract_x
_atom_site_fract_y
_atom_site_fract_z
Sm1 Sm 0.000 0.000 0.000
Bi1 Bi 0.500 0.500 0.000
Pd1 Pd 0.000 0.500 0.500
```

## Properties
Energy above the lowest structure with this stoichiometry: 0.100 eV per atom
Energy of formation: -0.6264 eV per atom
Magnetization: 0.0 μB per cell
Crystal system: tetragonal

---

First-principles (GGA-PBE) data for an optimized crystal structure of TaZnF2, as listed in Alexandria via LeMat-Bulk.

CIF file:
```
data_TaZnF2
_cell_length_a 5.912
_cell_length_b 5.912
_cell_length_c 5.912
_cell_angle_alpha 90.00
_cell_angle_beta 90.00
_cell_angle_gamma 90.00
_space_group_name_H-M_alt 'F m -3 m'
_space_group_IT_number 225
_space_group_name_Hall '-F 4 2 3'
loop_
_atom_site_label
_atom_site_type_symbol
_atom_site_fract_x
_atom_site_fract_y
_atom_site_fract_z
Ta1 Ta 0.000 0.000 0.000
Zn1 Zn 0.000 0.000 0.500
F1 F 0.250 0.250 0.250
```

## Properties
Energy above the lowest structure with this stoichiometry: 0.966 eV per atom
Magnetization: 0.0 μB per cell
Crystal system: cubic
Energy relative to the elements, uncorrected: -1.72 eV per formula unit

---

First-principles (GGA-PBE) data for an optimized crystal structure of SbBrF2, as listed in Alexandria via LeMat-Bulk.

CIF file:
```
data_SbBrF2
_cell_length_a 6.321
_cell_length_b 6.321
_cell_length_c 6.321
_cell_angle_alpha 90.00
_cell_angle_beta 90.00
_cell_angle_gamma 90.00
_space_group_name_H-M_alt 'F m -3 m'
_space_group_IT_number 225
_space_group_name_Hall '-F 4 2 3'
loop_
_atom_site_label
_atom_site_type_symbol
_atom_site_fract_x
_atom_site_fract_y
_atom_site_fract_z
Sb1 Sb 0.000 0.000 0.000
Br1 Br 0.000 0.000 0.500
F1 F 0.250 0.250 0.250
```

## Properties
Energy above the lowest structure with this stoichiometry: 0.716 eV per atom
Magnetization: 0.0 μB per cell
Crystal system: cubic
Energy relative to the elements, uncorrected: -4.06 eV per formula unit

---

First-principles (GGA-PBE) data for an optimized crystal structure of ThScS2, as listed in Alexandria via LeMat-Bulk.

CIF file:
```
data_ThScS2
_cell_length_a 3.926
_cell_length_b 8.605
_cell_length_c 6.234
_cell_angle_alpha 90.00
_cell_angle_beta 90.00
_cell_angle_gamma 90.00
_space_group_name_H-M_alt 'P m n 21'
_space_group_IT_number 31
_space_group_name_Hall 'P 2ac -2'
loop_
_atom_site_label
_atom_site_type_symbol
_atom_site_fract_x
_atom_site_fract_y
_atom_site_fract_z
Th1 Th 0.000 0.083 0.000
Sc1 Sc 0.000 0.648 0.875
S1 S 0.000 0.407 0.132
S2 S 0.000 0.802 0.212
```

## Properties
Energy above the lowest structure with this stoichiometry: 0.423 eV per atom
Magnetization: 0.0 μB per cell
Crystal system: orthorhombic
Energy relative to the elements, uncorrected: -5.63 eV per formula unit

---

First-principles (GGA-PBE) data for an optimized crystal structure of KBaTl4Sb2, as listed in Alexandria via LeMat-Bulk.

CIF file:
```
data_KBaTl4Sb2
_cell_length_a 4.803
_cell_length_b 4.803
_cell_length_c 13.110
_cell_angle_alpha 90.00
_cell_angle_beta 90.00
_cell_angle_gamma 90.00
_space_group_name_H-M_alt 'P 4/m m m'
_space_group_IT_number 123
_space_group_name_Hall '-P 4 2'
loop_
_atom_site_label
_atom_site_type_symbol
_atom_site_fract_x
_atom_site_fract_y
_atom_site_fract_z
K1 K 0.000 0.000 0.000
Ba1 Ba 0.000 0.000 0.500
Tl1 Tl 0.000 0.500 0.219
Sb1 Sb 0.500 0.500 0.385
```

## Properties
Magnetization: 0.0 μB per cell
Crystal system: tetragonal
Energy relative to the elements, uncorrected: -2.65 eV per formula unit

---

First-principles (GGA-PBE) data for an optimized crystal structure of Ga2BiTeO8, as listed in Alexandria via LeMat-Bulk.

CIF file:
```
data_Ga2BiTeO8
_cell_length_a 6.613
_cell_length_b 6.687
_cell_length_c 6.526
_cell_angle_alpha 90.00
_cell_angle_beta 90.00
_cell_angle_gamma 90.00
_space_group_name_H-M_alt 'C m m m'
_space_group_IT_number 65
_space_group_name_Hall '-C 2 2'
loop_
_atom_site_label
_atom_site_type_symbol
_atom_site_fract_x
_atom_site_fract_y
_atom_site_fract_z
Ga1 Ga 0.000 0.000 0.242
Bi1 Bi 0.000 0.500 0.500
Te1 Te 0.000 0.500 0.000
O1 O 0.000 0.301 0.220
O2 O 0.172 0.000 0.500
O3 O 0.200 0.000 0.000
```

## Properties
Magnetization: 0.0 μB per cell
Crystal system: orthorhombic
Energy relative to the elements, uncorrected: -15.19 eV per formula unit